# W3Au4

A relaxed W3Au4 crystal (PBE-GGA, Alexandria via LeMat-Bulk).

a b c (Å): 11.2518 11.2518 11.2518
angles (deg): 163.12 163.12 23.96
Closest atoms and distances in Å follow each position.
Atoms (fractional coordinates):
W: 0.0000 0.0000 0.0000  8 Au 2.82
W: 0.2788 0.2788 0.0000  4 W 2.66, 5 Au 2.89-2.97
W: 0.7212 0.7212 0.0000  4 W 2.66, 5 Au 2.89-2.97
Au: 0.1438 0.1438 0.0000  4 Au 2.83, 6 W 2.89-3.17
Au: 0.4286 0.4286 0.0000  4 W 2.82, 5 Au 2.83-3.14
Au: 0.5714 0.5714 0.0000  4 W 2.82, 5 Au 2.83-3.14
Au: 0.8562 0.8562 0.0000  4 Au 2.83, 6 W 2.89-3.17

Computed properties:
calculated volume: 17.16 Å³ per atom
space group: I4/mmm, No. 139
formation energy from the elements: 438 meV/atom
DOS at the Fermi energy: 0.69 states/eV per atom

***

# WAu5

A relaxed WAu5 crystal (PBE-GGA, Alexandria via LeMat-Bulk).

a b c (Å): 4.8153 7.8938 7.8938
angles (deg): 20.62 90.00 90.00
Closest atoms and distances in Å follow each position.
Atoms (fractional coordinates):
W: 0.0000 0.0000 0.0000  2 W 2.83, 10 Au 2.88-2.93
Au: 0.0000 0.3379 0.3379  10 Au 2.83-3.08, 2 W 2.89
Au: 0.0000 0.6615 0.6615  10 Au 2.83-3.08, 2 W 2.88
Au: 0.5000 0.1043 0.1043  10 Au 2.83-2.95, 2 W 2.90
Au: 0.5000 0.4432 0.4432  8 Au 2.83-3.03, 4 W 2.93
Au: 0.5000 0.7709 0.7709  12 Au 2.83-3.03

Computed properties:
calculated volume: 17.61 Å³ per atom
space group: Amm2, No. 38
formation energy from the elements: 269 meV/atom
DOS at the Fermi energy: 0.68 states/eV per atom
excess energy over the best structure of this formula in the dataset: 5 meV/atom

***

# W3Au

A relaxed W3Au crystal (PBE-GGA, Alexandria via LeMat-Bulk).

a b c (Å): 4.9298 4.9298 5.1547
angles (deg): 96.91 96.91 32.08
Closest atoms and distances in Å follow each position.
Atoms (fractional coordinates):
W: 0.0000 0.0000 0.0000  8 W 2.72-2.91, 4 Au 2.92
W: 0.2483 0.2483 0.7485  9 W 2.72-2.93, 3 Au 2.85-2.88
W: 0.7517 0.7517 0.2515  9 W 2.72-2.93, 3 Au 2.85-2.88
Au: 0.5000 0.5000 0.5000  2 Au 2.72, 10 W 2.85-2.92

Computed properties:
calculated volume: 16.50 Å³ per atom
space group: C2/m, No. 12
formation energy from the elements: 398 meV/atom
DOS at the Fermi energy: 0.67 states/eV per atom
excess energy over the best structure of this formula in the dataset: 155 meV/atom

***

# W3Au

A relaxed W3Au crystal (PBE-GGA, Alexandria via LeMat-Bulk).

a b c (Å): 3.3371 3.3371 5.9374
angles (deg): 90.00 90.00 90.00
Closest atoms and distances in Å follow each position.
Atoms (fractional coordinates):
W: 0.0000 0.0000 0.0000  8 W 2.75, 2 Au 2.97
W: 0.5000 0.5000 0.2377  5 W 2.75-2.82, 4 Au 2.83
W: 0.5000 0.5000 0.7623  5 W 2.75-2.82, 4 Au 2.83
Au: 0.0000 0.0000 0.5000  10 W 2.83-2.97

Computed properties:
calculated volume: 16.53 Å³ per atom
space group: P4/mmm, No. 123
formation energy from the elements: 373 meV/atom
DOS at the Fermi energy: 0.88 states/eV per atom
excess energy over the best structure of this formula in the dataset: 130 meV/atom

***

# W3Au

A relaxed W3Au crystal (PBE-GGA, Alexandria via LeMat-Bulk).

a b c (Å): 2.8091 2.8091 9.7501
angles (deg): 90.00 90.00 120.00
Closest atoms and distances in Å follow each position.
Atoms (fractional coordinates):
W: 0.0000 0.0000 0.0000  12 W 2.81-2.93
W: 0.3333 0.6667 0.2497  9 W 2.81-2.93, 3 Au 2.93
W: 0.3333 0.6667 0.7503  9 W 2.81-2.93, 3 Au 2.93
Au: 0.0000 0.0000 0.5000  6 Au 2.81, 6 W 2.93

Computed properties:
calculated volume: 16.66 Å³ per atom
space group: P-6m2, No. 187
formation energy from the elements: 445 meV/atom
DOS at the Fermi energy: 0.79 states/eV per atom
excess energy over the best structure of this formula in the dataset: 202 meV/atom

***

# WAu5

A relaxed WAu5 crystal (PBE-GGA, Alexandria via LeMat-Bulk).

a b c (Å): 5.4301 5.4301 5.4301
angles (deg): 60.00 60.00 60.00
Closest atoms and distances in Å follow each position.
Atoms (fractional coordinates):
W: 0.0000 0.0000 0.0000  16 Au 3.18-3.33
Au: 0.1247 0.6251 0.6251  6 Au 2.71-2.72
Au: 0.2500 0.2500 0.2500  12 Au 3.18, 4 W 3.33
Au: 0.6251 0.1247 0.6251  6 Au 2.71-2.72
Au: 0.6251 0.6251 0.1247  6 Au 2.71-2.72
Au: 0.6251 0.6251 0.6251  6 Au 2.71-2.72

Computed properties:
calculated volume: 18.87 Å³ per atom
space group: F-43m, No. 216
formation energy from the elements: 693 meV/atom
DOS at the Fermi energy: 0.62 states/eV per atom
excess energy over the best structure of this formula in the dataset: 429 meV/atom

***

# W4Au3

A relaxed W4Au3 crystal (PBE-GGA, Alexandria via LeMat-Bulk).

a b c (Å): 10.8431 10.8431 10.8431
angles (deg): 162.23 162.23 25.24
Closest atoms and distances in Å follow each position.
Atoms (fractional coordinates):
W: 0.0764 0.0764 0.0000  4 W 2.70, 5 Au 2.87-2.93
W: 0.3629 0.3629 0.0000  4 W 2.70, 5 Au 2.88-2.90
W: 0.6371 0.6371 0.0000  4 W 2.70, 5 Au 2.88-2.90
W: 0.9236 0.9236 0.0000  4 W 2.70, 5 Au 2.87-2.93
Au: 0.2146 0.2146 0.0000  4 Au 2.80, 6 W 2.88-3.14
Au: 0.5000 0.5000 0.0000  10 W 2.87-2.90
Au: 0.7854 0.7854 0.0000  4 Au 2.80, 6 W 2.88-3.14

Computed properties:
calculated volume: 16.96 Å³ per atom
space group: I4/mmm, No. 139
formation energy from the elements: 379 meV/atom
DOS at the Fermi energy: 0.71 states/eV per atom

***

# W3Au2

A relaxed W3Au2 crystal (PBE-GGA, Alexandria via LeMat-Bulk).

a b c (Å): 11.3874 11.3874 11.3874
angles (deg): 15.05 15.05 15.05
Closest atoms and distances in Å follow each position.
Atoms (fractional coordinates):
W: 0.0000 0.0000 0.0000  6 Au 2.86, 6 W 2.98
W: 0.1946 0.1946 0.1946  3 W 2.55
W: 0.8054 0.8054 0.8054  3 W 2.55
Au: 0.4011 0.4011 0.4011  6 W 2.86-2.95, 6 Au 2.98
Au: 0.5989 0.5989 0.5989  6 W 2.86-2.95, 6 Au 2.98

Computed properties:
calculated volume: 17.34 Å³ per atom
space group: R-3m, No. 166
formation energy from the elements: 575 meV/atom
DOS at the Fermi energy: 0.93 states/eV per atom